First-principles (GGA+U) data for a relaxed structure of KWO2, as listed in the Alexandria database.

a = 3.3260 Å, b = 3.3260 Å, c = 21.6183 Å
α = 90.00°, β = 90.00°, γ = 120.00°
With the nearest neighbours (Å) after each atom.
Space group R-3m (No. 166, hexagonal axes)
Inequivalent atoms, fractional coordinates:
1 K 0.0000 0.0000 0.0000 x3  6 O 2.61
2 W 0.0000 0.0000 0.5000 x3  2 O 1.83
3 O 0.0000 0.0000 0.4151 x6  1 W 1.83

Computed properties:
The value obtained for the magnetic moment is 1.41 μB/f.u. As for the calculated total energy: -5.660 eV per atom.